GGA-PBE MgSbI3, optimized geometry; raw formation energy = -2.41 kcal/mol of atoms; symmetry = Pm-3m (221); total DFT energy (no corrections) = -2.18 eV/atom; polymorph energy (0 for the lowest one) = 0 meV per atom
1.0
-1.091 2.666 4.876
-5.083 1.530 -1.974
-2.246 -4.756 2.098
I Sb Mg
3 1 1
direct
0.000 0.500 0.000
0.000 0.000 0.500
0.500 0.000 0.000
0.500 0.500 0.500
0.000 0.000 0.000